The following is a DFT calculation (PBE-GGA) of a relaxed structure of TlReBr3.

Cell: 5.274 5.274 5.274 Å, 90.00 90.00 90.00°
Space group Pm-3m (No. 221)
One atom of each set of equivalent atoms:
1 Tl 0.000 0.000 0.000 [1 per cell]
2 Re 0.500 0.500 0.500 [1 per cell]
3 Br 0.000 0.500 0.500 [3 per cell]

- VASP energy (eV per atom) = -3.838
- M_tot (μB per cell) = 3.089
- mass density (kg/m3) = 7136

=====

The following is a DFT calculation (PBE-GGA) of a relaxed structure of Tl2ReBr5.

Cell: 12.410 7.492 7.760 Å, 90.00 123.05 90.00°
Space group Cm (No. 8)
One atom of each set of equivalent atoms:
1 Tl 0.000 0.000 0.000 [2 per cell]
2 Tl 0.035 0.500 0.534 [2 per cell]
3 Re 0.255 0.000 0.742 [2 per cell]
4 Br 0.009 0.000 0.427 [2 per cell]
5 Br 0.234 0.238 0.953 [4 per cell]
6 Br 0.322 0.235 0.586 [4 per cell]

- VASP energy (eV per atom) = -3.574
- M_tot (μB per cell) = 8.018
- mass density (kg/m3) = 5461

=====

The following is a DFT calculation (PBE-GGA) of a relaxed structure of TlRe2Br.

Cell: 2.899 5.316 9.573 Å, 90.00 90.00 90.00°
Space group Cmmm (No. 65)
One atom of each set of equivalent atoms:
1 Tl 0.000 0.000 0.000 [2 per cell]
2 Re 0.000 0.500 0.258 [4 per cell]
3 Br 0.000 0.000 0.500 [2 per cell]

- VASP energy (eV per atom) = -5.827
- M_tot (μB per cell) = 0.585
- mass density (kg/m3) = 14782